Entry 1:
Crystalline TbYSnAu at its relaxed geometry, computed with PBE.

POSCAR file:
```
TbYSnAu
1.0
-4.870 -0.642 1.803
-1.449 -4.594 2.042
-0.850 -0.425 5.145
Y Tb Au Sn
1 1 1 1
Direct
0.750 0.750 0.750
0.250 0.250 0.250
0.500 0.500 0.500
0.000 0.000 0.000
```

Properties
**DFT formation energy**: -70.57 kJ per mole of atoms
**Space-group type**: No. 216

Entry 2:
Crystalline TbZrSnAu at its relaxed geometry, computed with PBE.

POSCAR file:
```
TbZrSnAu
1.0
5.083 0.000 0.000
2.542 4.402 0.000
2.542 1.467 4.151
Tb Au Sn Zr
1 1 1 1
Direct
0.000 0.000 0.000
0.750 0.750 0.750
0.250 0.250 0.250
0.500 0.500 0.500
```

Properties
**DFT formation energy**: -49.81 kJ per mole of atoms
**Space-group type**: No. 216

Entry 3:
Crystalline Tc2Sn2Au at its relaxed geometry, computed with PBE.

POSCAR file:
```
Tc2Sn2Au
1.0
-6.211 4.261 -1.595
-1.805 -4.785 -5.755
-1.699 -1.737 1.977
Au Sn Tc
2 4 4
Direct
0.000 0.000 0.000
0.500 0.500 0.000
0.349 0.849 0.000
0.849 0.651 0.000
0.651 0.151 0.000
0.151 0.349 0.000
0.145 0.645 0.500
0.645 0.855 0.500
0.855 0.355 0.500
0.355 0.145 0.500
```

Properties
**DFT formation energy**: 34.83 kJ per mole of atoms
**Space-group type**: No. 127
**Offset from the most stable computed form**: 199.7 meV/atom

Entry 4:
Crystalline TcSn3Au at its relaxed geometry, computed with PBE.

POSCAR file:
```
TcSn3Au
1.0
5.146 0.000 0.000
0.000 5.146 0.000
0.000 0.000 5.146
Au Sn Tc
1 3 1
Direct
0.500 0.500 0.500
0.000 0.500 0.000
0.000 0.000 0.500
0.500 0.000 0.000
0.000 0.000 0.000
```

Properties
**DFT formation energy**: 16.97 kJ per mole of atoms
**Space-group type**: No. 221
**Offset from the most stable computed form**: 0.0 meV/atom

Entry 5:
Crystalline TcSn3Au at its relaxed geometry, computed with PBE.

POSCAR file:
```
TcSn3Au
1.0
5.316 0.000 0.000
0.000 5.316 0.000
0.000 0.000 5.316
Au Sn Tc
1 3 1
Direct
0.000 0.000 0.000
0.000 0.500 0.000
0.000 0.000 0.500
0.500 0.000 0.000
0.500 0.500 0.500
```

Properties
**DFT formation energy**: 104.85 kJ per mole of atoms
**Space-group type**: No. 221
**Offset from the most stable computed form**: 910.9 meV/atom

Entry 6:
Crystalline Tc2Sn2Au at its relaxed geometry, computed with PBE.

POSCAR file:
```
Tc2Sn2Au
1.0
7.205 0.000 0.000
0.000 7.205 0.000
0.000 0.000 3.587
Au Sn Tc
2 4 4
Direct
0.000 0.000 0.000
0.500 0.500 0.000
0.163 0.663 0.500
0.663 0.837 0.500
0.837 0.337 0.500
0.337 0.163 0.500
0.365 0.865 0.000
0.865 0.635 0.000
0.635 0.135 0.000
0.135 0.365 0.000
```

Properties
**DFT formation energy**: 15.57 kJ per mole of atoms
**Space-group type**: No. 127
**Offset from the most stable computed form**: 0.0 meV/atom

Entry 7:
Crystalline Tc2SnAu2 at its relaxed geometry, computed with PBE.

POSCAR file:
```
Tc2SnAu2
1.0
6.788 0.000 0.000
0.000 6.788 0.000
0.000 0.000 4.030
Au Sn Tc
4 2 4
Direct
0.176 0.676 0.500
0.676 0.824 0.500
0.824 0.324 0.500
0.324 0.176 0.500
0.000 0.000 0.000
0.500 0.500 0.000
0.380 0.880 0.000
0.880 0.620 0.000
0.620 0.120 0.000
0.120 0.380 0.000
```

Properties
**DFT formation energy**: 29.13 kJ per mole of atoms
**Space-group type**: No. 127

Entry 8:
Crystalline TcSn8Au2 at its relaxed geometry, computed with PBE.

POSCAR file:
```
TcSn8Au2
1.0
4.670 -0.010 -1.428
-1.424 11.289 -4.687
-0.454 -2.375 6.941
Tc Sn Au
1 8 2
Direct
0.500 0.000 0.000
0.713 0.028 0.426
0.424 0.714 0.845
0.135 0.158 0.272
0.038 0.389 0.080
0.865 0.842 0.728
0.576 0.286 0.155
0.287 0.972 0.574
0.962 0.611 0.920
0.206 0.692 0.410
0.794 0.308 0.590
```

Properties
**DFT formation energy**: 4.43 kJ per mole of atoms
**Space-group type**: No. 2

Entry 9:
Crystalline Sn4Te4Au at its relaxed geometry, computed with PBE.

POSCAR file:
```
Sn4Te4Au
1.0
-2.837 0.823 7.205
-8.871 1.995 -2.151
5.948 -5.684 -2.407
Sn Te Au
4 4 1
Direct
0.563 0.487 0.583
0.292 0.777 0.085
0.189 0.184 0.854
0.997 0.497 0.352
0.510 0.935 0.989
0.014 0.545 0.053
0.322 0.243 0.564
0.748 0.817 0.505
0.866 0.014 0.014
```

Properties
**Space-group type**: No. 1
**ΔE_f (raw)**: -111 meV/atom

Entry 10:
Crystalline Sn3TeAu3 at its relaxed geometry, computed with PBE.

POSCAR file:
```
Sn3TeAu3
1.0
7.663 0.000 0.000
0.000 7.663 0.000
0.000 0.000 7.663
Te Au Sn
2 6 6
Direct
0.500 0.500 0.500
0.000 0.000 0.000
0.250 0.000 0.500
0.000 0.500 0.250
0.500 0.750 0.000
0.750 0.000 0.500
0.000 0.500 0.750
0.500 0.250 0.000
0.000 0.250 0.500
0.000 0.750 0.500
0.500 0.000 0.750
0.750 0.500 0.000
0.500 0.000 0.250
0.250 0.500 0.000
```

Properties
**Space-group type**: No. 223
**ΔE_f (raw)**: 214 meV/atom
**Offset from the most stable computed form**: 265.3 meV/atom

Entry 11:
Crystalline SnTe4Au at its relaxed geometry, computed with PBE.

POSCAR file:
```
SnTe4Au
1.0
4.135 0.000 0.000
0.000 6.742 -4.998
0.000 -1.919 8.594
Sn Te Au
1 4 1
Direct
0.000 0.500 0.500
0.000 0.321 0.702
0.000 0.679 0.298
0.500 0.080 0.207
0.500 0.920 0.793
0.500 0.500 0.000
```

Properties
**Space-group type**: No. 10
**ΔE_f (raw)**: -63 meV/atom

Entry 12:
Crystalline Sn5Te4Au at its relaxed geometry, computed with PBE.

POSCAR file:
```
Sn5Te4Au
1.0
4.430 0.000 0.000
0.000 4.430 0.000
-2.215 -2.215 15.644
Sn Te Au
5 4 1
Direct
0.091 0.091 0.182
0.500 0.500 0.000
0.909 0.909 0.818
0.298 0.298 0.597
0.702 0.702 0.403
0.399 0.399 0.798
0.803 0.803 0.606
0.197 0.197 0.394
0.601 0.601 0.202
0.000 0.000 0.000
```

Properties
**Space-group type**: No. 139
**ΔE_f (raw)**: -213 meV/atom

Entry 13:
Crystalline SnTe2Au2 at its relaxed geometry, computed with PBE.

POSCAR file:
```
SnTe2Au2
1.0
8.659 0.000 0.000
0.000 8.659 0.000
0.000 0.000 3.419
Te Au Sn
4 4 2
Direct
0.302 0.802 0.000
0.802 0.698 0.000
0.698 0.198 0.000
0.198 0.302 0.000
0.113 0.613 0.500
0.613 0.887 0.500
0.887 0.387 0.500
0.387 0.113 0.500
0.000 0.000 0.000
0.500 0.500 0.000
```

Properties
**Space-group type**: No. 127
**ΔE_f (raw)**: 119 meV/atom
**Offset from the most stable computed form**: 207.8 meV/atom

Entry 14:
Crystalline SnTe6Au at its relaxed geometry, computed with PBE.

POSCAR file:
```
SnTe6Au
1.0
7.640 -0.219 -0.187
3.610 6.675 0.079
3.618 2.278 4.976
Sn Te Au
1 6 1
Direct
0.500 0.500 0.500
0.025 0.438 0.735
0.812 0.024 0.720
0.566 0.186 0.264
0.188 0.976 0.280
0.975 0.562 0.265
0.434 0.814 0.736
0.000 0.000 0.000
```

Properties
**Space-group type**: No. 2
**ΔE_f (raw)**: 58 meV/atom

Entry 15:
Crystalline Sn2TeAu2 at its relaxed geometry, computed with PBE.

POSCAR file:
```
Sn2TeAu2
1.0
3.969 0.000 0.000
0.000 3.969 0.000
1.984 1.984 8.076
Te Au Sn
1 2 2
Direct
0.000 0.000 0.000
0.750 0.250 0.500
0.250 0.750 0.500
0.390 0.390 0.221
0.610 0.610 0.779
```

Properties
**Space-group type**: No. 139
**ΔE_f (raw)**: -50 meV/atom
**Offset from the most stable computed form**: 10.5 meV/atom

Entry 16:
Crystalline Sn3Te2Au at its relaxed geometry, computed with PBE.

POSCAR file:
```
Sn3Te2Au
1.0
4.235 0.003 -0.966
-0.216 4.229 -0.966
-0.009 -0.008 9.747
Sn Te Au
3 2 1
Direct
0.934 0.936 0.874
0.282 0.284 0.571
0.586 0.587 0.177
0.108 0.110 0.222
0.760 0.762 0.526
0.434 0.436 0.874
```

Properties
**Space-group type**: No. 69
**ΔE_f (raw)**: -187 meV/atom

Entry 17:
Crystalline Sn2TeAu at its relaxed geometry, computed with PBE.

POSCAR file:
```
Sn2TeAu
1.0
-0.768 2.215 -3.603
2.117 -5.725 -3.971
-7.820 0.409 1.918
Sn Te Au
4 2 2
Direct
0.250 0.340 0.208
0.750 0.660 0.792
0.750 0.131 0.792
0.250 0.869 0.208
0.250 0.768 0.536
0.750 0.232 0.464
0.750 0.570 0.140
0.250 0.430 0.860
```

Properties
**Space-group type**: No. 63
**ΔE_f (raw)**: -62 meV/atom

Entry 18:
Crystalline Sn2TeAu2 at its relaxed geometry, computed with PBE.

POSCAR file:
```
Sn2TeAu2
1.0
7.788 0.000 0.000
0.000 7.788 0.000
0.000 0.000 4.026
Te Au Sn
2 4 4
Direct
0.000 0.000 0.000
0.500 0.500 0.000
0.368 0.868 0.000
0.868 0.632 0.000
0.632 0.132 0.000
0.132 0.368 0.000
0.164 0.664 0.500
0.664 0.836 0.500
0.836 0.336 0.500
0.336 0.164 0.500
```

Properties
**Space-group type**: No. 127
**ΔE_f (raw)**: -61 meV/atom
**Offset from the most stable computed form**: 0.0 meV/atom

Entry 19:
Crystalline Sn2TeAu2 at its relaxed geometry, computed with PBE.

POSCAR file:
```
Sn2TeAu2
1.0
-0.039 -2.782 8.321
8.479 -2.151 -0.679
0.828 2.953 0.991
Te Au Sn
2 4 4
Direct
0.000 0.000 0.000
0.500 0.500 0.000
0.112 0.612 0.500
0.612 0.888 0.500
0.888 0.388 0.500
0.388 0.112 0.500
0.308 0.808 0.000
0.808 0.692 0.000
0.692 0.192 0.000
0.192 0.308 0.000
```

Properties
**Space-group type**: No. 127
**ΔE_f (raw)**: -18 meV/atom
**Offset from the most stable computed form**: 42.8 meV/atom

Entry 20:
Crystalline Sn3TeAu3 at its relaxed geometry, computed with PBE.

POSCAR file:
```
Sn3TeAu3
1.0
6.676 -0.055 2.647
2.760 6.045 2.634
-0.072 -0.018 9.798
Sn Te Au
6 2 6
Direct
0.449 0.724 0.755
0.718 0.076 0.755
0.072 0.449 0.758
0.928 0.551 0.242
0.282 0.924 0.245
0.551 0.276 0.245
0.668 0.670 0.998
0.332 0.330 0.002
0.181 0.557 0.403
0.861 0.175 0.402
0.566 0.852 0.404
0.434 0.148 0.596
0.139 0.825 0.598
0.819 0.443 0.597
```

Properties
**Space-group type**: No. 2
**ΔE_f (raw)**: -52 meV/atom
**Offset from the most stable computed form**: 0.0 meV/atom

Number 1: total energy -21.30 eV/cell. Number 2: total energy -22.52 eV/cell. Number 3: total energy -60.42 eV/cell. Number 4: total energy -24.77 eV/cell. Number 5: total energy -20.22 eV/cell. Number 6: total energy -62.42 eV/cell. Number 7: total energy -59.56 eV/cell. Number 8: total energy -48.44 eV/cell. Number 9: total energy -32.86 eV/cell. Number 10: total energy -46.97 eV/cell. Number 11: total energy -20.22 eV/cell. Number 12: total energy -37.99 eV/cell. Number 13: total energy -32.49 eV/cell. Number 14: total energy -25.67 eV/cell. Number 15: total energy -17.95 eV/cell. Number 16: total energy -22.69 eV/cell. Number 17: total energy -29.35 eV/cell. Number 18: total energy -36.01 eV/cell. Number 19: total energy -35.58 eV/cell. Number 20: total energy -50.69 eV/cell.